Density functional theory data (GGA-PBE) for a relaxed structure of Pr3Tm2Pb4.

Structure (CIF):
```
data_Pr3Tm2Pb4
_chemical_formula_sum 'Pr6 Tm4 Pb8'
_cell_length_a 16.4671
_cell_length_b 5.1438
_cell_length_c 6.9829
_cell_angle_alpha 90.00
_cell_angle_beta 105.40
_cell_angle_gamma 90.00
_symmetry_space_group_name_H-M 'C 1 2/m 1'
_symmetry_Int_Tables_number 12
loop_
_symmetry_equiv_pos_as_xyz
'x,y,z'
'-x,-y,-z'
'-x,y,-z'
'x,-y,z'
'x+1/2,y+1/2,z'
'-x+1/2,-y+1/2,-z'
'-x+1/2,y+1/2,-z'
'x+1/2,-y+1/2,z'
loop_
_atom_site_label
_atom_site_type_symbol
_atom_site_fract_x
_atom_site_fract_y
_atom_site_fract_z
Pr1 Pr 0.0000 0.0000 0.0000
Pr2 Pr 0.1215 0.0000 0.5816
Tm1 Tm 0.1657 0.5000 0.0713
Pb1 Pb 0.0064 0.5000 0.2849
Pb2 Pb 0.2396 0.0000 0.2670
```

Summary:
Energy of formation (eV/atom): -0.46

***

Density functional theory data (GGA-PBE) for a relaxed structure of Tl7Hg2Au2.

Structure (CIF):
```
data_Tl7Hg2Au2
_chemical_formula_sum 'Tl14 Hg4 Au4'
_cell_length_a 3.9285
_cell_length_b 16.4771
_cell_length_c 9.8178
_cell_angle_alpha 90.00
_cell_angle_beta 90.00
_cell_angle_gamma 90.00
_symmetry_space_group_name_H-M 'I m m 2'
_symmetry_Int_Tables_number 44
loop_
_symmetry_equiv_pos_as_xyz
'x,y,z'
'-x,-y,z'
'-x,y,z'
'x,-y,z'
'x+1/2,y+1/2,z+1/2'
'-x+1/2,-y+1/2,z+1/2'
'-x+1/2,y+1/2,z+1/2'
'x+1/2,-y+1/2,z+1/2'
loop_
_atom_site_label
_atom_site_type_symbol
_atom_site_fract_x
_atom_site_fract_y
_atom_site_fract_z
Tl1 Tl 0.0000 0.0000 0.0000
Tl2 Tl 0.0000 0.1274 0.4318
Tl3 Tl 0.0000 0.3228 0.6444
Tl4 Tl 0.0000 0.3477 0.2475
Hg1 Hg 0.0000 0.0000 0.6778
Hg2 Hg 0.0000 0.5000 0.7700
Au1 Au 0.0000 0.2313 0.9372
```

Summary:
Energy of formation (eV/atom): 0.00

***

Density functional theory data (GGA-PBE) for a relaxed structure of Rb3Tl.

Structure (CIF):
```
data_Rb3Tl
_chemical_formula_sum 'Rb3 Tl1'
_cell_length_a 4.7063
_cell_length_b 5.7492
_cell_length_c 9.9916
_cell_angle_alpha 90.00
_cell_angle_beta 90.00
_cell_angle_gamma 90.00
_symmetry_space_group_name_H-M 'P m m 2'
_symmetry_Int_Tables_number 25
loop_
_symmetry_equiv_pos_as_xyz
'x,y,z'
'-x,-y,z'
'-x,y,z'
'x,-y,z'
loop_
_atom_site_label
_atom_site_type_symbol
_atom_site_fract_x
_atom_site_fract_y
_atom_site_fract_z
Rb1 Rb 0.0000 0.0000 0.0000
Rb2 Rb 0.0000 0.5000 0.3062
Rb3 Rb 0.5000 0.5000 0.6811
Tl1 Tl 0.5000 0.0000 0.4029
```

Summary:
Energy of formation (eV/atom): 0.09

***

Density functional theory data (GGA-PBE) for a relaxed structure of TlTe2Pb2.

Structure (CIF):
```
data_TlTe2Pb2
_chemical_formula_sum 'Tl2 Te4 Pb4'
_cell_length_a 4.7340
_cell_length_b 4.7340
_cell_length_c 16.0149
_cell_angle_alpha 90.00
_cell_angle_beta 90.00
_cell_angle_gamma 90.00
_symmetry_space_group_name_H-M 'I 4/m m m'
_symmetry_Int_Tables_number 139
_symmetry_space_group_name_Hall '-I 4 2'
loop_
_atom_site_label
_atom_site_type_symbol
_atom_site_fract_x
_atom_site_fract_y
_atom_site_fract_z
Tl1 Tl 0.0000 0.0000 0.0000
Te1 Te 0.0000 0.0000 0.4017
Pb1 Pb 0.0000 0.5000 0.2500
```

***

For each record above, in turn, the calculated E values are -84.538; -47.530; -4.918; -33.233 eV for the cell shown.